First-principles (GGA-PBE) data for SrLiMgIn2 after structural relaxation, as listed in the Alexandria database.

Its density of states at the Fermi level is 0.623 states/eV per atom. As for the space-group type: I-4m2. Its size of the total moment is 0.0 μB/cell.

Unit cell a=7.362 b=7.362 c=7.362 alpha=143.78 beta=143.78 gamma=52.15
Fractional coordinates of all 5 atoms:
Sr 0.000 0.000 0.000
Li 0.250 0.750 0.500
Mg 0.750 0.250 0.500
In 0.389 0.389 0.000
In 0.611 0.611 0.000



First-principles (GGA-PBE) data for Sr2LiMgIn6 after structural relaxation, as listed in the Alexandria database.

Its density of states at the Fermi level is 0.421 states/eV per atom. As for the space-group type: P-1. Its size of the total moment is 0.0 μB/cell.

Unit cell a=6.140 b=7.545 c=7.567 alpha=91.28 beta=113.84 gamma=113.52
Fractional coordinates of all 10 atoms:
Sr 0.249 0.241 0.259
Sr 0.751 0.759 0.741
Li 0.000 0.500 0.500
Mg 0.500 0.000 0.000
In 0.193 0.693 0.191
In 0.241 0.913 0.571
In 0.310 0.313 0.806
In 0.690 0.687 0.194
In 0.759 0.087 0.429
In 0.807 0.307 0.809



First-principles (GGA-PBE) data for SrLiMg2In2 after structural relaxation, as listed in the Alexandria database.

Its density of states at the Fermi level is 0.519 states/eV per atom. As for the space-group type: P-3m1. Its size of the total moment is 0.0 μB/cell.

Unit cell a=4.953 b=4.953 c=7.631 alpha=90.00 beta=90.00 gamma=120.00
Fractional coordinates of all 6 atoms:
Sr 0.000 0.000 0.000
Li 0.000 0.000 0.500
Mg 0.333 0.667 0.665
Mg 0.667 0.333 0.335
In 0.333 0.667 0.266
In 0.667 0.333 0.734



Respective calculated density values: 4.18; 5.18; 3.82 g/cm³.
Respective DFT formation energy values: -0.273; -0.225; -0.234 eV per atom.